1.
A geometry-optimized Cu2AuI3 structure. Source: the Alexandria database, functional PBE.

a b c (Å): 4.245 8.076 11.642
angles (deg): 108.87 90.00 90.00
Sites, in units of the cell vectors:
I: 0.750 0.739 0.518
Au: 0.250 0.791 0.334
Cu: 0.750 0.009 0.428
I: 0.250 0.261 0.482
I: 0.250 0.442 0.159
I: 0.250 0.087 0.813
I: 0.750 0.558 0.841
Cu: 0.750 0.564 0.068
Au: 0.750 0.209 0.666
I: 0.750 0.913 0.187
Cu: 0.250 0.991 0.572
Cu: 0.250 0.436 0.932

Calculated values
Volume = 378 Å³/cell
Final energy = -2.731 eV/atom

=====

2.
A geometry-optimized PrHoSiHg structure. Source: the Alexandria database, functional PBE.

a b c (Å): 5.209 5.209 5.209
angles (deg): 60.00 60.00 60.00
Sites, in units of the cell vectors:
Si: 0.750 0.750 0.750
Hg: 0.250 0.250 0.250
Ho: 0.000 0.000 0.000
Pr: 0.500 0.500 0.500

Calculated values
Volume = 100 Å³/cell
Final energy = -4.216 eV/atom

=====

3.
A geometry-optimized HoPaFe structure. Source: the Alexandria database, functional PBE.

a b c (Å): 7.230 6.642 7.308
angles (deg): 90.00 126.25 90.00
Sites, in units of the cell vectors:
Fe: 0.482 0.526 0.168
Pa: 0.736 0.261 0.288
Ho: 0.278 0.890 0.180
Pa: 0.236 0.239 0.788
Pa: 0.764 0.761 0.212
Fe: 0.018 0.026 0.332
Pa: 0.264 0.739 0.712
Fe: 0.982 0.974 0.668
Fe: 0.518 0.474 0.832
Ho: 0.778 0.610 0.680
Ho: 0.722 0.110 0.820
Ho: 0.222 0.390 0.320

Calculated values
Polymorph energy (0 for the lowest one) = 16 meV per atom
E_form = -33 kJ/mol of formula units
Volume = 283 Å³/cell

=====

4.
A geometry-optimized PmB6Mo2 structure. Source: the Alexandria database, functional PBE.

a b c (Å): 3.181 5.760 5.760
angles (deg): 75.03 73.97 73.97
Sites, in units of the cell vectors:
B: 0.306 0.933 0.456
B: 0.694 0.544 0.067
B: 0.306 0.456 0.933
Mo: 0.845 0.655 0.655
Mo: 0.155 0.345 0.345
Pm: 0.000 0.000 0.000
B: 0.694 0.067 0.544
B: 0.500 0.660 0.340
B: 0.500 0.340 0.660

Calculated values
E_form = -415 kJ/mol of formula units
Volume = 96 Å³/cell

=====

5.
A geometry-optimized LaHfTlHg2 structure. Source: the Alexandria database, functional PBE.

a b c (Å): 5.369 6.042 5.369
angles (deg): 90.00 90.00 90.00
Site moments in Bohr magnetons follow the coordinates.
Sites, in units of the cell vectors:
Hg: 0.500 0.000 0.000  0.01
Tl: 0.000 0.000 0.000  -0.01
La: 0.000 0.500 0.000  0.15
Hf: 0.500 0.500 0.500  0.84
Hg: 0.000 0.000 0.500  0.00

Calculated values
E_form = 451 kJ/mol of formula units
Volume = 174 Å³/cell

=====

6.
A geometry-optimized Y2As2Se structure. Source: the Alexandria database, functional PBE.

a b c (Å): 7.671 7.671 4.075
angles (deg): 90.00 90.00 90.00
Sites, in units of the cell vectors:
Y: 0.679 0.179 0.000
Se: 0.500 0.500 0.000
As: 0.385 0.115 0.500
As: 0.115 0.615 0.500
Se: 0.000 0.000 0.000
Y: 0.821 0.679 0.000
As: 0.885 0.385 0.500
As: 0.615 0.885 0.500
Y: 0.321 0.821 0.000
Y: 0.179 0.321 0.000

Calculated values
Polymorph energy (0 for the lowest one) = 0 meV per atom
Volume = 240 Å³/cell

=====

7.
A geometry-optimized EuMg2Al structure. Source: the Alexandria database, functional PBE.

a b c (Å): 4.873 4.550 4.550
angles (deg): 90.00 90.00 90.00
Site moments in Bohr magnetons follow the coordinates.
Sites, in units of the cell vectors:
Mg: 0.000 0.500 0.000  0.00
Eu: 0.500 0.000 0.000  6.85
Al: 0.500 0.500 0.500  0.03
Mg: 0.000 0.000 0.500  0.00

Calculated values
E_form = -26 kJ/mol of formula units
Volume = 101 Å³/cell

=====

8.
A geometry-optimized YBeZn2 structure. Source: the Alexandria database, functional PBE.

a b c (Å): 5.678 5.678 3.034
angles (deg): 77.39 77.39 122.41
Sites, in units of the cell vectors:
Zn: 0.500 0.500 0.000
Y: 0.000 0.500 0.500
Be: 0.500 0.000 0.500
Zn: 0.000 0.000 0.000

Calculated values
E_form = 108 kJ/mol of formula units
Volume = 74 Å³/cell